The following is a SCAN calculation of MnCdMo2 at its PBEsol-relaxed geometry, from Alexandria.

abc: 3.1489 3.1489 6.3211
angles: 90.00 90.00 90.00
With the nearest neighbours (Å) after each atom.
Positions (direct):
Mn  0.0000  0.0000  0.0000  5 Mo 2.63-2.80, 4 Cd 2.77
Cd  0.5000  0.5000  0.7385  4 Mn 2.77, 5 Mo 2.91-3.06
Mo  0.0000  0.0000  0.4426  4 Mo 2.63, 1 Mn 2.80, 4 Cd 2.91
Mo  0.5000  0.5000  0.2222  4 Mo 2.63, 4 Mn 2.63

Total moment   2.98 Bohr magnetons per cell
N(E_F)   1.14 states/eV per cell
Electronic total energy   -117.78 eV/f.u.